# BaLi2Sb

BaLi2Sb after structural relaxation (PBE, Alexandria).

Output
- energy relative to the elements, uncorrected (meV per atom) = -372
- DOS(E_F) (states/eV/f.u.) = 1.866

CIF file:
```
data_BaLi2Sb
_chemical_formula_sum 'Ba1 Li2 Sb1'
_symmetry_space_group_name_H-M 'P m m 2'
_symmetry_Int_Tables_number 25
_symmetry_space_group_name_Hall 'P 2 -2'
_cell_length_a 3.597
_cell_length_b 4.397
_cell_length_c 7.843
_cell_angle_alpha 90.00
_cell_angle_beta 90.00
_cell_angle_gamma 90.00
loop_
_atom_site_label
_atom_site_type_symbol
_atom_site_fract_x
_atom_site_fract_y
_atom_site_fract_z
Ba1 Ba 0.000 0.000 0.000
Li1 Li 0.000 0.000 0.564
Li2 Li 0.500 0.500 0.372
Sb1 Sb 0.500 0.500 0.726
```



# BaLiSb2

BaLiSb2 after structural relaxation (PBE, Alexandria).

Output
- energy relative to the elements, uncorrected (meV per atom) = -326
- DOS(E_F) (states/eV/f.u.) = 2.885

CIF file:
```
data_BaLiSb2
_chemical_formula_sum 'Ba1 Li1 Sb2'
_symmetry_space_group_name_H-M 'P 4 m m'
_symmetry_Int_Tables_number 99
_symmetry_space_group_name_Hall 'P 4 -2'
_cell_length_a 4.121
_cell_length_b 4.121
_cell_length_c 7.273
_cell_angle_alpha 90.00
_cell_angle_beta 90.00
_cell_angle_gamma 90.00
loop_
_atom_site_label
_atom_site_type_symbol
_atom_site_fract_x
_atom_site_fract_y
_atom_site_fract_z
Ba1 Ba 0.000 0.000 0.000
Li1 Li 0.500 0.500 0.359
Sb1 Sb 0.000 0.000 0.498
Sb2 Sb 0.500 0.500 0.726
```



# BaLi2Sb

BaLi2Sb after structural relaxation (PBE, Alexandria).

Output
- energy relative to the elements, uncorrected (meV per atom) = -448
- DOS(E_F) (states/eV/f.u.) = 2.197

CIF file:
```
data_BaLi2Sb
_chemical_formula_sum 'Ba2 Li4 Sb2'
_symmetry_space_group_name_H-M 'I m m 2'
_symmetry_Int_Tables_number 44
_symmetry_space_group_name_Hall 'I 2 -2'
_cell_length_a 5.170
_cell_length_b 6.104
_cell_length_c 7.854
_cell_angle_alpha 90.00
_cell_angle_beta 90.00
_cell_angle_gamma 90.00
loop_
_atom_site_label
_atom_site_type_symbol
_atom_site_fract_x
_atom_site_fract_y
_atom_site_fract_z
Ba1 Ba 0.000 0.000 0.000
Li1 Li 0.000 0.000 0.452
Li2 Li 0.000 0.500 0.180
Sb1 Sb 0.000 0.500 0.793
```



# BaLiSb2

BaLiSb2 after structural relaxation (PBE, Alexandria).

Output
- energy relative to the elements, uncorrected (meV per atom) = -526
- DOS(E_F) (states/eV/f.u.) = 1.335

CIF file:
```
data_BaLiSb2
_chemical_formula_sum 'Ba2 Li2 Sb4'
_symmetry_space_group_name_H-M 'I 4/m m m'
_symmetry_Int_Tables_number 139
_symmetry_space_group_name_Hall '-I 4 2'
_cell_length_a 5.065
_cell_length_b 5.065
_cell_length_c 9.626
_cell_angle_alpha 90.00
_cell_angle_beta 90.00
_cell_angle_gamma 90.00
loop_
_atom_site_label
_atom_site_type_symbol
_atom_site_fract_x
_atom_site_fract_y
_atom_site_fract_z
Ba1 Ba 0.000 0.000 0.000
Li1 Li 0.000 0.000 0.500
Sb1 Sb 0.000 0.500 0.250
```



# BaLi2Sb3

BaLi2Sb3 after structural relaxation (PBE, Alexandria).

Output
- energy relative to the elements, uncorrected (meV per atom) = -591
- DOS(E_F) (states/eV/f.u.) = 1.358

CIF file:
```
data_BaLi2Sb3
_chemical_formula_sum 'Ba4 Li8 Sb12'
_symmetry_space_group_name_H-M 'I 4/m m m'
_symmetry_Int_Tables_number 139
_symmetry_space_group_name_Hall '-I 4 2'
_cell_length_a 4.896
_cell_length_b 4.896
_cell_length_c 27.733
_cell_angle_alpha 90.00
_cell_angle_beta 90.00
_cell_angle_gamma 90.00
loop_
_atom_site_label
_atom_site_type_symbol
_atom_site_fract_x
_atom_site_fract_y
_atom_site_fract_z
Ba1 Ba 0.000 0.000 0.154
Li1 Li 0.000 0.000 0.402
Li2 Li 0.000 0.500 0.250
Sb1 Sb 0.000 0.000 0.305
Sb2 Sb 0.000 0.500 0.051
```



# BaLiSb2

BaLiSb2 after structural relaxation (PBE, Alexandria).

Output
- energy relative to the elements, uncorrected (meV per atom) = -486
- DOS(E_F) (states/eV/f.u.) = 1.592

CIF file:
```
data_BaLiSb2
_chemical_formula_sum 'Ba2 Li2 Sb4'
_symmetry_space_group_name_H-M 'C m m m'
_symmetry_Int_Tables_number 65
_symmetry_space_group_name_Hall '-C 2 2'
_cell_length_a 7.193
_cell_length_b 9.663
_cell_length_c 3.594
_cell_angle_alpha 90.00
_cell_angle_beta 90.00
_cell_angle_gamma 90.00
loop_
_atom_site_label
_atom_site_type_symbol
_atom_site_fract_x
_atom_site_fract_y
_atom_site_fract_z
Ba1 Ba 0.000 0.000 0.000
Li1 Li 0.000 0.500 0.000
Sb1 Sb 0.250 0.250 0.500
```



# BaLi2Sb

BaLi2Sb after structural relaxation (PBE, Alexandria).

Output
- energy relative to the elements, uncorrected (meV per atom) = -427
- DOS(E_F) (states/eV/f.u.) = 2.892

CIF file:
```
data_BaLi2Sb
_chemical_formula_sum 'Ba4 Li8 Sb4'
_symmetry_space_group_name_H-M 'F -4 3 m'
_symmetry_Int_Tables_number 216
_symmetry_space_group_name_Hall 'F -4 2 3'
_cell_length_a 7.801
_cell_length_b 7.801
_cell_length_c 7.801
_cell_angle_alpha 90.00
_cell_angle_beta 90.00
_cell_angle_gamma 90.00
loop_
_atom_site_label
_atom_site_type_symbol
_atom_site_fract_x
_atom_site_fract_y
_atom_site_fract_z
Ba1 Ba 0.000 0.000 0.000
Li1 Li 0.000 0.000 0.500
Li2 Li 0.250 0.250 0.750
Sb1 Sb 0.250 0.250 0.250
```



# Ba2Li2Sb

Ba2Li2Sb after structural relaxation (PBE, Alexandria).

Output
- energy relative to the elements, uncorrected (meV per atom) = -372
- DOS(E_F) (states/eV/f.u.) = 4.047

CIF file:
```
data_Ba2Li2Sb
_chemical_formula_sum 'Ba4 Li4 Sb2'
_symmetry_space_group_name_H-M 'I 4/m m m'
_symmetry_Int_Tables_number 139
_symmetry_space_group_name_Hall '-I 4 2'
_cell_length_a 4.341
_cell_length_b 4.341
_cell_length_c 20.652
_cell_angle_alpha 90.00
_cell_angle_beta 90.00
_cell_angle_gamma 90.00
loop_
_atom_site_label
_atom_site_type_symbol
_atom_site_fract_x
_atom_site_fract_y
_atom_site_fract_z
Ba1 Ba 0.000 0.000 0.088
Li1 Li 0.000 0.500 0.250
Sb1 Sb 0.000 0.000 0.500
```